Material: KSiAgTeSe2
Method: DFT, PBE
State: relaxed

Properties
final energy = -3.54 eV per atom

Structure (extended XYZ):
```
12
Lattice="-1.324 6.622 -4.757 -1.572 -7.594 2.845 -6.719 4.373 7.956" Properties=species:S:1:pos:R:3 pbc="T T T"
K -6.552 -0.873 6.972
K -3.064 4.274 -0.928
Te -6.380 8.926 1.731
Te -3.235 -5.526 4.313
Se -4.617 -0.007 3.601
Se -1.694 -1.909 0.139
Se -7.922 5.310 5.905
Se -4.998 3.407 2.443
Ag -3.144 -0.337 1.538
Ag -6.471 3.738 4.506
Si 0.000 0.000 0.000
Si -3.360 2.186 3.978
```